*i*
VASP calculation (PBE) on a relaxed NdGe3Pt3 crystal.

```
NdGe3Pt3
1.0
7.1613 0.0000 0.0000
3.5807 6.2019 0.0000
3.5807 2.0673 6.7310
Pt Nd Ge
6 2 6
direct
0.5264 0.2383 0.3599
0.2383 0.8754 0.3599
0.8754 0.5264 0.3599
0.1246 0.4736 0.6401
0.4736 0.7617 0.6401
0.7617 0.1246 0.6401
0.3336 0.3336 0.9993
0.6664 0.6664 0.0007
0.7927 0.3872 0.7372
0.6128 0.9171 0.2628
0.3872 0.0829 0.7372
0.2073 0.6128 0.2628
0.9171 0.2073 0.2628
0.0829 0.7927 0.7372
```

space-group type = R-3
Fermi-level density of states = 3.745 states/eV/f.u.
total magnetic moment = 0.00 μB per atom

*ii*
VASP calculation (PBE) on a relaxed NdGe3Pt3 crystal.

```
NdGe3Pt3
1.0
-5.6450 0.3191 3.8210
2.2659 -5.2084 3.7824
3.0932 4.3976 4.2025
Nd Ge Pt
2 6 6
direct
0.5000 0.5000 0.5000
0.0000 0.0000 0.0000
0.5000 0.0000 0.7500
0.7500 0.5000 0.0000
0.2500 0.5000 0.0000
0.0000 0.2500 0.5000
0.5000 0.0000 0.2500
0.0000 0.7500 0.5000
0.7500 0.0000 0.5000
0.2500 0.0000 0.5000
0.0000 0.5000 0.2500
0.5000 0.2500 0.0000
0.5000 0.7500 0.0000
0.0000 0.5000 0.7500
```

space-group type = Pm-3n
Fermi-level density of states = 3.954 states/eV/f.u.
total magnetic moment = 0.00 μB per atom

Winner for stability: *i*

*i*
VASP calculation (PBE) on a relaxed NdSmGePt crystal.

```
NdSmGePt
1.0
-0.7834 -1.0549 3.8814
1.2455 -4.0395 -0.8465
5.6335 1.8469 -0.5241
Sm Ge Pt Nd
1 1 1 1
direct
0.8642 0.5000 0.7285
0.5783 0.5000 0.1565
0.4162 0.0000 0.8323
0.1413 0.0000 0.2827
```

space-group type = Amm2
Fermi-level density of states = 2.142 states/eV/f.u.
total magnetic moment = 0.00 μB per atom

*ii*
VASP calculation (PBE) on a relaxed NdSmGePt crystal.

```
NdSmGePt
1.0
-0.5929 3.5215 3.7025
1.3676 -1.0972 4.8360
4.1241 2.2617 2.0827
Sm Ge Nd Pt
1 1 1 1
direct
0.0000 0.0000 0.0000
0.2500 0.2500 0.2500
0.5000 0.5000 0.5000
0.7500 0.7500 0.7500
```

space-group type = F-43m
Fermi-level density of states = 1.354 states/eV/f.u.
total magnetic moment = 0.00 μB per atom

Winner for stability: *i*

*i*
VASP calculation (PBE) on a relaxed NdYGePt crystal.

```
NdYGePt
1.0
4.0334 0.0000 0.0000
0.0000 4.3037 0.0000
-2.0167 0.0000 5.5422
Nd Pt Ge Y
1 1 1 1
direct
0.1423 0.0000 0.2845
0.4160 0.0000 0.8320
0.5768 0.5000 0.1536
0.8649 0.5000 0.7299
```

space-group type = Amm2
Fermi-level density of states = 2.386 states/eV/f.u.
total magnetic moment = 0.00 μB per atom

*ii*
VASP calculation (PBE) on a relaxed NdYGePt crystal.

```
NdYGePt
1.0
-4.9590 -0.2620 -1.1647
-3.0075 -3.3548 2.3911
-3.4935 1.6335 3.3383
Pt Nd Ge Y
1 1 1 1
direct
0.5000 0.5000 0.5000
0.7500 0.7500 0.7500
0.0000 0.0000 0.0000
0.2500 0.2500 0.2500
```

space-group type = F-43m
Fermi-level density of states = 1.471 states/eV/f.u.
total magnetic moment = 0.00 μB per atom

Winner for stability: *i*

*i*
VASP calculation (PBE) on a relaxed NdPu2Ge2 crystal.

```
NdPu2Ge2
1.0
4.5690 0.0000 0.0000
-2.2845 6.7317 0.0000
0.0000 0.0000 8.2780
Pu Ge Nd
4 4 2
direct
0.6762 0.3523 0.4464
0.1475 0.2951 0.2339
0.3238 0.6477 0.9464
0.8525 0.7049 0.7339
0.0291 0.0583 0.5394
0.9709 0.9417 0.0394
0.2232 0.4464 0.6400
0.7768 0.5536 0.1400
0.5853 0.1705 0.8448
0.4147 0.8295 0.3448
```

space-group type = Cmc2_1
Fermi-level density of states = 12.623 states/eV/f.u.
total magnetic moment = 2.21 μB per atom

*ii*
VASP calculation (PBE) on a relaxed NdPu2Ge2 crystal.

```
NdPu2Ge2
1.0
3.5727 0.0000 0.0000
0.0000 5.5625 -0.2942
0.0000 -1.9693 11.9928
Pu Nd Ge
4 2 4
direct
0.7500 0.0995 0.0521
0.7500 0.6353 0.5084
0.2500 0.3647 0.4916
0.2500 0.9005 0.9479
0.2500 0.7681 0.2697
0.7500 0.2319 0.7303
0.2500 0.7193 0.7064
0.7500 0.2807 0.2936
0.2500 0.3853 0.9344
0.7500 0.6147 0.0656
```

space-group type = P2_1/m
Fermi-level density of states = 8.845 states/eV/f.u.
total magnetic moment = 0.00 μB per atom

Winner for stability: *i*

*i*
VASP calculation (PBE) on a relaxed Nd3Ge4Rh2 crystal.

```
Nd3Ge4Rh2
1.0
-1.8485 -3.6747 -1.0235
5.9061 -0.7967 0.9711
-3.2081 -0.5744 7.8563
Nd Ge Rh
3 4 2
direct
0.6678 0.3355 0.6574
0.0000 0.0000 0.0000
0.3322 0.6645 0.3426
0.9481 0.8961 0.6174
0.2696 0.5393 0.9245
0.0519 0.1039 0.3826
0.7304 0.4607 0.0755
0.3979 0.7959 0.7281
0.6021 0.2041 0.2719
```

space-group type = C2/m
Fermi-level density of states = 6.603 states/eV/f.u.
total magnetic moment = 0.00 μB per atom

*ii*
VASP calculation (PBE) on a relaxed Nd3Ge4Rh2 crystal.

```
Nd3Ge4Rh2
1.0
-0.9850 1.2128 4.0324
-4.7307 -2.5542 -2.7063
4.8640 -6.1615 3.0413
Ge Nd Rh
4 3 2
direct
0.2875 0.5750 0.9240
0.0969 0.1938 0.3969
0.9031 0.8062 0.6031
0.7125 0.4250 0.0760
0.3798 0.7595 0.3061
0.0000 0.0000 0.0000
0.6202 0.2405 0.6939
0.6931 0.3861 0.3672
0.3069 0.6139 0.6328
```

space-group type = C2/m
Fermi-level density of states = 4.601 states/eV/f.u.
total magnetic moment = 0.00 μB per atom

Winner for stability: *ii*

*i*
VASP calculation (PBE) on a relaxed Nd2Ge6Rh crystal.

```
Nd2Ge6Rh
1.0
3.9689 0.0000 -0.7560
0.0000 4.2428 0.0000
0.1115 0.0000 11.3808
Rh Nd Ge
1 2 6
direct
0.7734 0.5000 0.5467
0.3331 0.0000 0.6663
0.9969 0.0000 0.9938
0.0994 0.5000 0.1989
0.8832 0.5000 0.7663
0.6036 0.0000 0.2072
0.4532 0.5000 0.9064
0.2112 0.5000 0.4224
0.7149 0.0000 0.4299
```

space-group type = Amm2
Fermi-level density of states = 2.748 states/eV/f.u.
total magnetic moment = 0.00 μB per atom

*ii*
VASP calculation (PBE) on a relaxed Nd2Ge6Rh crystal.

```
Nd2Ge6Rh
1.0
-3.3713 -3.1500 2.9953
2.5301 -5.0139 -2.4229
4.8306 -2.5995 2.7054
Ge Rh Nd
6 1 2
direct
0.3133 0.8194 0.3608
0.6867 0.1805 0.6392
0.6866 0.1805 0.1805
0.3134 0.8195 0.8195
0.6867 0.6392 0.1805
0.3133 0.3608 0.8194
0.0000 0.0000 0.0000
0.1763 0.3332 0.3332
0.8237 0.6668 0.6668
```

space-group type = P-3m1
Fermi-level density of states = 4.365 states/eV/f.u.
total magnetic moment = 0.00 μB per atom

Winner for stability: *i*

*i*
VASP calculation (PBE) on a relaxed NdGe3Rh3 crystal.

```
NdGe3Rh3
1.0
-0.0035 -4.2474 -1.0672
8.7459 0.1287 -0.5410
-3.8913 -1.9104 7.6163
Ge Rh Nd
6 6 2
direct
0.7500 0.9404 0.6557
0.2500 0.6557 0.7153
0.7500 0.7153 0.0596
0.2500 0.0596 0.3443
0.7500 0.3443 0.2847
0.2500 0.2847 0.9404
0.7500 0.6294 0.5764
0.2500 0.3706 0.4236
0.2500 0.0530 0.6294
0.7500 0.4236 0.0530
0.2500 0.5764 0.9470
0.7500 0.9470 0.3706
0.7500 0.3333 0.6667
0.2500 0.6667 0.3333
```

space-group type = P6_3/m
Fermi-level density of states = 3.126 states/eV/f.u.
total magnetic moment = 0.00 μB per atom

*ii*
VASP calculation (PBE) on a relaxed NdGe3Rh3 crystal.

```
NdGe3Rh3
1.0
-6.4806 -1.4665 -0.8694
1.2209 -6.3772 1.6567
-1.1899 1.4438 6.4346
Ge Rh Nd
6 6 2
direct
0.5000 0.0000 0.7500
0.7500 0.5000 0.0000
0.0000 0.2500 0.5000
0.2500 0.5000 0.0000
0.5000 0.0000 0.2500
0.0000 0.7500 0.5000
0.5000 0.7500 0.0000
0.0000 0.5000 0.2500
0.0000 0.5000 0.7500
0.5000 0.2500 0.0000
0.2500 0.0000 0.5000
0.7500 0.0000 0.5000
0.0000 0.0000 0.0000
0.5000 0.5000 0.5000
```

space-group type = Pm-3n
Fermi-level density of states = 6.219 states/eV/f.u.
total magnetic moment = 0.00 μB per atom

*iii*
VASP calculation (PBE) on a relaxed NdGe3Rh3 crystal.

```
NdGe3Rh3
1.0
-1.6843 -5.4879 -5.3065
-4.7501 -3.5011 5.1275
-5.9755 4.3299 -2.5803
Ge Rh Nd
12 12 4
direct
0.5817 0.0154 0.6948
0.5154 0.8052 0.4183
0.9846 0.1948 0.9184
0.1948 0.9184 0.9846
0.4184 0.5154 0.8052
0.4846 0.3052 0.0816
0.6948 0.5816 0.0154
0.8052 0.4184 0.5154
0.0154 0.6948 0.5816
0.0816 0.4846 0.3052
0.9184 0.9846 0.1948
0.3052 0.0817 0.4846
0.3889 0.6112 0.1112
0.8066 0.6934 0.3066
0.3188 0.1812 0.8188
0.1112 0.3888 0.6111
0.6812 0.6812 0.6812
0.1812 0.8188 0.3188
0.8188 0.3188 0.1812
0.6934 0.3066 0.8066
0.3066 0.8066 0.6934
0.1934 0.1934 0.1934
0.8888 0.8889 0.8888
0.6112 0.1112 0.3888
0.9426 0.0574 0.5574
0.5574 0.9426 0.0574
0.0574 0.5574 0.9426
0.4426 0.4426 0.4426
```

space-group type = P2_13
Fermi-level density of states = 2.245 states/eV/f.u.
total magnetic moment = 0.00 μB per atom

Winner for stability: *iii*

*i*
VASP calculation (PBE) on a relaxed NdGe3Rh2 crystal.

```
NdGe3Rh2
1.0
-3.7545 -0.9574 1.4404
4.1126 -7.4098 -0.1372
2.4450 3.7469 8.8634
Ge Nd Rh
9 3 6
direct
0.6396 0.2791 0.1786
0.3563 0.7127 0.0773
0.2257 0.4514 0.3643
0.7743 0.5486 0.6357
0.9478 0.8957 0.6375
0.6437 0.2873 0.9227
0.0522 0.1043 0.3625
0.3604 0.7209 0.8214
0.5000 0.0000 0.5000
0.1511 0.3022 0.6982
0.0000 0.0000 0.0000
0.8489 0.6978 0.3018
0.3501 0.7002 0.5631
0.2068 0.4136 0.0801
0.7932 0.5864 0.9199
0.4952 0.9904 0.2355
0.6499 0.2998 0.4369
0.5048 0.0096 0.7645
```

space-group type = C2/m
Fermi-level density of states = 2.023 states/eV/f.u.
total magnetic moment = 0.00 μB per atom

*ii*
VASP calculation (PBE) on a relaxed NdGe3Rh2 crystal.

```
NdGe3Rh2
1.0
-1.0527 -3.1813 4.6028
-4.2558 -3.2839 -3.2431
5.2811 -3.2351 -1.0282
Ge Rh Nd
6 4 2
direct
0.2500 0.8769 0.5485
0.7500 0.1231 0.4515
0.7500 0.4515 0.1231
0.2500 0.9669 0.9669
0.2500 0.5485 0.8769
0.7500 0.0331 0.0331
0.0000 0.7813 0.2187
0.5000 0.7813 0.2187
0.0000 0.2187 0.7813
0.5000 0.2187 0.7813
0.7500 0.6622 0.6622
0.2500 0.3378 0.3378
```

space-group type = Cmcm
Fermi-level density of states = 3.100 states/eV/f.u.
total magnetic moment = 0.00 μB per atom

Winner for stability: *i*

*i*
VASP calculation (PBE) on a relaxed TbNdGeRh crystal.

```
TbNdGeRh
1.0
-2.5703 -0.1354 -4.3469
-2.6513 -4.1176 -1.2395
-5.0496 0.1387 0.0460
Nd Tb Rh Ge
1 1 1 1
direct
0.0000 0.0000 0.0000
0.5000 0.5000 0.5000
0.7500 0.7500 0.7500
0.2500 0.2500 0.2500
```

space-group type = F-43m
Fermi-level density of states = 2.510 states/eV/f.u.
total magnetic moment = 0.00 μB per atom

*ii*
VASP calculation (PBE) on a relaxed TbNdGeRh crystal.

```
TbNdGeRh
1.0
-2.0990 3.4339 -1.1535
-2.3947 -2.3213 -2.5528
-2.4273 -2.5056 4.5554
Ge Rh Nd Tb
1 1 1 1
direct
0.5710 0.5000 0.1420
0.4201 0.0000 0.8403
0.1448 0.0000 0.2896
0.8640 0.5000 0.7281
```

space-group type = Amm2
Fermi-level density of states = 3.454 states/eV/f.u.
total magnetic moment = 0.00 μB per atom

Winner for stability: *ii*

*i*
VASP calculation (PBE) on a relaxed NdGe3Ru3 crystal.

```
NdGe3Ru3
1.0
6.6893 0.0000 0.0000
0.0000 6.6893 0.0000
0.0000 0.0000 6.6893
Ge Nd Ru
6 2 6
direct
0.5000 0.0000 0.2500
0.0000 0.2500 0.5000
0.5000 0.0000 0.7500
0.0000 0.7500 0.5000
0.7500 0.5000 0.0000
0.2500 0.5000 0.0000
0.0000 0.0000 0.0000
0.5000 0.5000 0.5000
0.2500 0.0000 0.5000
0.0000 0.5000 0.2500
0.5000 0.7500 0.0000
0.7500 0.0000 0.5000
0.0000 0.5000 0.7500
0.5000 0.2500 0.0000
```

space-group type = Pm-3n
Fermi-level density of states = 2.417 states/eV/f.u.
total magnetic moment = 0.00 μB per atom

*ii*
VASP calculation (PBE) on a relaxed NdGe3Ru3 crystal.

```
NdGe3Ru3
1.0
-2.5187 -3.8297 4.9508
-3.5021 -5.5701 -1.4932
3.9230 -6.8911 1.2625
Nd Ge Ru
2 6 6
direct
0.3306 0.3306 0.0081
0.6694 0.6694 0.9919
0.1935 0.6698 0.2826
0.8540 0.1935 0.2826
0.3302 0.1460 0.7174
0.6698 0.8540 0.2826
0.8065 0.3302 0.7174
0.1460 0.8065 0.7174
0.0477 0.5536 0.6350
0.7637 0.0477 0.6350
0.4464 0.2363 0.3650
0.2363 0.9523 0.3650
0.9523 0.4464 0.3650
0.5536 0.7637 0.6350
```

space-group type = R-3
Fermi-level density of states = 4.941 states/eV/f.u.
total magnetic moment = 0.00 μB per atom

Winner for stability: *ii*